[1]
# MgVH2

An optimized crystal structure of MgVH2 (PBE-GGA, Alexandria via LeMat-Bulk).

V in Å³ per atom: 9.28
Energy above the most stable polymorph in this dataset in kJ per mole of atoms: 57.9

Cell lengths 3.7448, 3.7448, 3.7448 Å; angles 60.00, 60.00, 60.00 degrees
Last column: nearest neighbours and their distance in Å.
Positions (direct):
H: 0.2500 0.2500 0.2500  4 V 2.29, 4 Mg 2.29
H: 0.7500 0.7500 0.7500  4 V 2.29, 4 Mg 2.29
Mg: 0.0000 0.0000 0.0000  8 H 2.29
V: 0.5000 0.5000 0.5000  8 H 2.29

[2]
# Cs2Zn2As2H

An optimized crystal structure of Cs2Zn2As2H (PBE-GGA, Alexandria via LeMat-Bulk).

Total DFT energy (no corrections) in eV/atom: -2.7110
V in Å³ per atom: 27.34

Cell lengths 4.3554, 6.5590, 7.5543 Å; angles 74.49, 73.25, 70.61 degrees
Last column: nearest neighbours and their distance in Å.
Positions (direct):
Cs: 0.5607 0.2093 0.6692  2 H 3.31, 3 As 3.57-3.62, 2 Zn 3.69
Cs: 0.4393 0.7907 0.3308  2 H 3.31, 3 As 3.57-3.62, 2 Zn 3.69
Zn: 0.1708 0.7256 0.9328  1 H 1.85
Zn: 0.8292 0.2744 0.0672  1 H 1.85
As: 0.2115 0.3773 0.1998  3 Zn 2.51-2.61
As: 0.7885 0.6227 0.8002  3 Zn 2.51-2.61
H: 0.0000 0.0000 0.0000  2 Zn 1.85

[3]
# NaY2Mn

An optimized crystal structure of NaY2Mn (PBE-GGA, Alexandria via LeMat-Bulk).

Formation energy from the elements in eV per atom: 0.85
V in Å³ per atom: 40.52
Energy above the most stable polymorph in this dataset in kJ per mole of atoms: 28.9

Cell lengths 7.7059, 7.7059, 7.7134 Å; angles 60.03, 60.03, 90.00 degrees
Last column: nearest neighbours and their distance in Å.
Positions (direct):
Y: 0.8742 0.1250 0.2500  2 Mn 2.36
Y: 0.8758 0.6250 0.2500  2 Mn 2.36
Y: 0.3750 0.1258 0.7500  2 Mn 2.36
Y: 0.8750 0.1242 0.7500  2 Mn 2.36
Na: 0.5000 0.5000 0.0000  12 Y 4.51-4.53, 4 Mn 4.72, 4 Na 4.72
Na: 0.2500 0.7500 0.5000  12 Y 4.51-4.53, 4 Mn 4.72, 4 Na 4.72
Mn: 0.0000 0.0000 0.0000  4 Y 2.36
Mn: 0.7500 0.2500 0.5000  4 Y 2.36

[4]
# BaIrRhS2

An optimized crystal structure of BaIrRhS2 (PBE-GGA, Alexandria via LeMat-Bulk).

E_form (uncorrected) in meV/atom: 1907
V in Å³ per atom: 35.00

Cell lengths 5.6863, 5.4125, 5.6863 Å; angles 90.00, 90.00, 90.00 degrees
Last column: nearest neighbours and their distance in Å.
Positions (direct):
S: 0.0000 0.0000 0.5000  2 Ba 2.84
S: 0.5000 0.0000 0.0000  2 Ba 2.84
Ir: 0.0000 0.5000 0.0000  2 Ba 2.71
Rh: 0.5000 0.5000 0.5000  8 S 3.93, 4 Ir 4.02
Ba: 0.0000 0.0000 0.0000  2 Ir 2.71, 4 S 2.84

[5]
# Cu2Re

An optimized crystal structure of Cu2Re (PBE-GGA, Alexandria via LeMat-Bulk).

Formation energy from the elements in eV per atom: 0.19
V in Å³ per atom: 13.26
Energy above the most stable polymorph in this dataset in kJ per mole of atoms: 0.0

Cell lengths 7.1009, 7.1009, 4.2900 Å; angles 90.00, 90.00, 158.42 degrees
Last column: nearest neighbours and their distance in Å.
Positions (direct):
Cu: 0.8962 0.1038 0.7500  8 Cu 2.58-2.66, 4 Re 2.68-2.80
Cu: 0.1038 0.8962 0.2500  8 Cu 2.58-2.66, 4 Re 2.68-2.80
Cu: 0.4451 0.5549 0.2500  10 Cu 2.58-2.66, 2 Re 2.65
Cu: 0.5549 0.4451 0.7500  10 Cu 2.58-2.66, 2 Re 2.65
Re: 0.2192 0.7808 0.7500  6 Cu 2.65-2.80, 6 Re 2.66-2.67
Re: 0.7808 0.2192 0.2500  6 Cu 2.65-2.80, 6 Re 2.66-2.67

[6]
# CaZn2Cd6

An optimized crystal structure of CaZn2Cd6 (PBE-GGA, Alexandria via LeMat-Bulk).

Formation energy from the elements in eV per atom: -0.13
V in Å³ per atom: 22.29

Cell lengths 4.4751, 4.4751, 10.0165 Å; angles 90.00, 90.00, 90.00 degrees
Last column: nearest neighbours and their distance in Å.
Positions (direct):
Ca: 0.0000 0.0000 0.0000  8 Zn 3.39, 8 Cd 3.59
Zn: 0.5000 0.5000 0.1214  1 Zn 2.43
Zn: 0.5000 0.5000 0.8786  1 Zn 2.43
Cd: 0.0000 0.5000 0.2798  2 Zn 2.74
Cd: 0.5000 0.0000 0.2798  2 Zn 2.74
Cd: 0.0000 0.5000 0.7202  2 Zn 2.74
Cd: 0.5000 0.0000 0.7202  2 Zn 2.74
Cd: 0.5000 0.5000 0.5000  12 Cd 3.14-3.16
Cd: 0.0000 0.0000 0.5000  12 Cd 3.14-3.16

[7]
# K3Tl9Pt2

An optimized crystal structure of K3Tl9Pt2 (PBE-GGA, Alexandria via LeMat-Bulk).

Formation energy from the elements in eV per atom: -0.06
V in Å³ per atom: 32.89

Cell lengths 6.0928, 11.5740, 11.5741 Å; angles 68.72, 48.93, 48.93 degrees
Last column: nearest neighbours and their distance in Å.
Positions (direct):
K: 0.0000 0.0000 0.0000  8 Tl 3.63-3.95, 2 K 3.97
K: 0.9381 0.2343 0.2343  7 Tl 3.50-3.87, 2 Pt 3.61
K: 0.0619 0.7657 0.7657  7 Tl 3.50-3.87, 2 Pt 3.61
Tl: 0.0000 0.5000 0.5000  4 Tl 3.27, 4 Pt 3.32, 2 K 3.50
Tl: 0.4581 0.1563 0.6723  1 Pt 2.76
Tl: 0.5419 0.8437 0.3277  1 Pt 2.76
Tl: 0.4581 0.6723 0.1563  1 Pt 2.76
Tl: 0.5419 0.3277 0.8437  1 Pt 2.76
Tl: 0.7369 0.8401 0.5565  1 Pt 2.87
Tl: 0.2631 0.1599 0.4435  1 Pt 2.87
Tl: 0.7369 0.5565 0.8401  1 Pt 2.87
Tl: 0.2631 0.4435 0.1599  1 Pt 2.87
Pt: 0.5000 0.3991 0.6009  1 Pt 2.64, 4 Tl 2.76-2.87
Pt: 0.5000 0.6009 0.3991  1 Pt 2.64, 4 Tl 2.76-2.87